Model A:
# RbBaZr2

An optimized crystal structure of RbBaZr2 (PBE, Alexandria).

abc: 4.512 4.512 13.517
angles: 80.39 80.39 90.00
Each line ends with the local moment (μB).
Element x y z (fractional)
Zr 0.375 0.372 0.750  0.21
Zr 0.875 0.878 0.750  0.21
Zr 0.122 0.625 0.250  0.21
Zr 0.628 0.125 0.250  0.21
Ba 0.750 0.250 0.500  0.03
Ba 0.000 0.000 0.000  0.03
Rb 0.500 0.500 0.000  0.01
Rb 0.250 0.750 0.500  0.01

Results
symmetry: I-42d
M_tot: 1.5 μB per cell

---

Model B:
# RbBaZr2

An optimized crystal structure of RbBaZr2 (PBE, Alexandria).

abc: 5.797 5.797 5.797
angles: 60.00 60.00 60.00
Element x y z (fractional)
Rb 0.000 0.000 0.000
Zr 0.750 0.750 0.750
Zr 0.250 0.250 0.250
Ba 0.500 0.500 0.500

Results
symmetry: Fm-3m
M_tot: 0.0 μB per cell

---

model A comes first in stability; the runner-up is 22.5 kJ/mol of atoms higher.

---

Model A:
# BaRe

An optimized crystal structure of BaRe (PBE, Alexandria).

abc: 6.836 6.836 6.354
angles: 90.00 90.00 90.00
Each line ends with the local moment (μB).
Element x y z (fractional)
Ba 0.313 0.313 0.500  0.00
Ba 0.187 0.813 0.000  0.00
Ba 0.813 0.187 0.000  0.00
Ba 0.687 0.687 0.500  0.00
Re 0.385 0.385 0.000  0.26
Re 0.115 0.885 0.500  0.26
Re 0.615 0.615 0.000  0.26
Re 0.885 0.115 0.500  0.26

Results
symmetry: P4_2/mnm
M_tot: 1.3 μB per cell

---

Model B:
# BaRe

An optimized crystal structure of BaRe (PBE, Alexandria).

abc: 2.976 2.976 5.535
angles: 90.00 90.00 90.00
Element x y z (fractional)
Ba 0.500 0.500 0.500
Re 0.000 0.000 0.000

Results
symmetry: P4/mmm
M_tot: 0.0 μB per cell

---

model A comes first in stability; the runner-up is 15.4 kJ/mol of atoms higher.

---

Model A:
# BaRe

An optimized crystal structure of BaRe (PBE, Alexandria).

abc: 6.578 6.578 6.578
angles: 90.00 90.00 90.00
Each line ends with the local moment (μB).
Element x y z (fractional)
Ba 0.500 0.500 0.000  -0.03
Ba 0.000 0.000 0.000  -0.03
Ba 0.000 0.500 0.500  -0.03
Ba 0.500 0.000 0.500  -0.03
Re 0.500 0.000 0.000  2.74
Re 0.000 0.500 0.000  2.74
Re 0.000 0.000 0.500  2.74
Re 0.500 0.500 0.500  2.74

Results
symmetry: Fm-3m
M_tot: 12.4 μB per cell

---

Model B:
# BaRe

An optimized crystal structure of BaRe (PBE, Alexandria).

abc: 3.942 6.608 9.873
angles: 90.00 90.00 90.00
Element x y z (fractional)
Ba 0.750 0.895 0.180
Ba 0.250 0.105 0.820
Ba 0.250 0.395 0.320
Ba 0.750 0.605 0.680
Re 0.250 0.589 0.969
Re 0.750 0.411 0.031
Re 0.750 0.089 0.531
Re 0.250 0.911 0.469

Results
symmetry: Pnma
M_tot: 0.0 μB per cell

---

Model C:
# BaRe

An optimized crystal structure of BaRe (PBE, Alexandria).

abc: 3.084 3.084 5.825
angles: 90.00 90.00 120.00
Element x y z (fractional)
Ba 0.000 0.000 0.000
Re 0.333 0.667 0.500

Results
symmetry: P-6m2
M_tot: 0.0 μB per cell

---

model B comes first in stability; the runner-up is 102.9 kJ/mol of atoms higher.

---

Model A:
# Ba5Re4

An optimized crystal structure of Ba5Re4 (PBE, Alexandria).

abc: 10.296 10.296 7.013
angles: 90.00 90.00 120.00
Each line ends with the local moment (μB).
Element x y z (fractional)
Ba 0.667 0.333 0.500  -0.01
Ba 0.333 0.667 0.500  -0.01
Ba 0.000 0.340 0.750  0.00
Ba 0.660 0.660 0.750  0.00
Ba 0.667 0.333 0.000  -0.01
Ba 0.340 0.000 0.750  0.00
Ba 0.333 0.667 0.000  -0.01
Ba 0.000 0.660 0.250  0.00
Ba 0.660 0.000 0.250  0.00
Ba 0.340 0.340 0.250  0.00
Re 0.175 0.175 0.750  0.22
Re 0.000 0.000 0.500  -0.07
Re 0.000 0.825 0.750  0.22
Re 0.825 0.825 0.250  0.22
Re 0.825 0.000 0.750  0.22
Re 0.000 0.175 0.250  0.22
Re 0.000 0.000 0.000  -0.07
Re 0.175 0.000 0.250  0.22

Results
symmetry: P6_3/mcm
M_tot: 1.2 μB per cell

---

Model B:
# Ba5Re4

An optimized crystal structure of Ba5Re4 (PBE, Alexandria).

abc: 8.196 8.196 8.196
angles: 94.33 94.33 148.09
Element x y z (fractional)
Ba 0.000 0.000 0.000
Ba 0.325 0.675 0.000
Ba 0.325 0.325 0.650
Ba 0.675 0.675 0.350
Ba 0.675 0.325 0.000
Re 0.396 0.000 0.396
Re 0.604 0.000 0.604
Re 0.000 0.604 0.604
Re 0.000 0.396 0.396

Results
symmetry: I4/mmm
M_tot: 0.0 μB per cell

---

model B comes first in stability; the runner-up is 7.1 kJ/mol of atoms higher.

---

Model A:
# BaRe5

An optimized crystal structure of BaRe5 (PBE, Alexandria).

abc: 8.775 8.775 4.005
angles: 90.00 90.00 153.82
Element x y z (fractional)
Re 0.790 0.210 0.500
Re 0.379 0.621 0.500
Re 0.178 0.822 0.500
Re 0.290 0.710 0.000
Re 0.691 0.309 0.000
Ba 0.006 0.994 0.000

Results
symmetry: Amm2
M_tot: 0.0 μB per cell

---

Model B:
# BaRe5

An optimized crystal structure of BaRe5 (PBE, Alexandria).

abc: 6.111 6.111 6.965
angles: 89.97 89.97 27.32
Element x y z (fractional)
Re 0.019 0.019 0.472
Re 0.672 0.672 0.275
Re 0.204 0.204 0.972
Re 0.320 0.320 0.472
Re 0.672 0.672 0.670
Ba 0.945 0.945 0.972

Results
symmetry: Amm2
M_tot: 0.0 μB per cell

---

Model C:
# BaRe5

An optimized crystal structure of BaRe5 (PBE, Alexandria).

abc: 3.153 3.153 11.327
angles: 90.00 90.00 90.00
Element x y z (fractional)
Ba 0.500 0.500 0.000
Re 0.000 0.000 0.240
Re 0.500 0.500 0.354
Re 0.000 0.000 0.500
Re 0.500 0.500 0.646
Re 0.000 0.000 0.760

Results
symmetry: P4/mmm
M_tot: 0.0 μB per cell

---

model C comes first in stability; the runner-up is 4.2 kJ/mol of atoms higher.

---

Model A:
# BaRe4

An optimized crystal structure of BaRe4 (PBE, Alexandria).

abc: 4.861 4.861 4.861
angles: 90.00 90.00 90.00
Each line ends with the local moment (μB).
Element x y z (fractional)
Re 0.000 0.000 0.000  2.22
Re 0.500 0.000 0.500  -0.46
Re 0.500 0.500 0.000  -0.46
Re 0.000 0.500 0.500  -0.46
Ba 0.500 0.500 0.500  0.00

Results
symmetry: Pm-3m
M_tot: 1.0 μB per cell

---

Model B:
# BaRe4

An optimized crystal structure of BaRe4 (PBE, Alexandria).

abc: 5.068 5.068 5.068
angles: 101.23 101.23 127.63
Element x y z (fractional)
Re 0.808 0.462 0.271
Re 0.538 0.808 0.346
Re 0.462 0.192 0.654
Re 0.192 0.538 0.729
Ba 0.000 0.000 0.000

Results
symmetry: I4/m
M_tot: 0.0 μB per cell

---

model B comes first in stability; the runner-up is 299.2 kJ/mol of atoms higher.

---

Model A:
# Ba2Re3

An optimized crystal structure of Ba2Re3 (PBE, Alexandria).

abc: 3.652 3.652 11.897
angles: 90.00 90.00 120.00
Each line ends with the local moment (μB).
Element x y z (fractional)
Re 0.000 0.000 0.000  0.64
Re 0.333 0.667 0.452  0.01
Re 0.667 0.333 0.548  0.01
Ba 0.667 0.333 0.202  0.00
Ba 0.333 0.667 0.798  0.00

Results
symmetry: P-3m1
M_tot: 0.8 μB per cell

---

Model B:
# Ba2Re3

An optimized crystal structure of Ba2Re3 (PBE, Alexandria).

abc: 10.266 10.266 10.266
angles: 23.52 23.52 23.52
Each line ends with the local moment (μB).
Element x y z (fractional)
Re 0.162 0.162 0.162  0.01
Re 0.000 0.000 0.000  2.80
Re 0.838 0.838 0.838  0.01
Ba 0.589 0.589 0.589  0.00
Ba 0.411 0.411 0.411  0.00

Results
symmetry: R-3m
M_tot: 3.2 μB per cell

---

model B comes first in stability; the runner-up is 3.5 kJ/mol of atoms higher.

---

Model A:
# BaRe2Rh

An optimized crystal structure of BaRe2Rh (PBE, Alexandria).

abc: 5.790 5.790 2.841
angles: 90.00 90.00 124.57
Element x y z (fractional)
Rh 0.000 0.000 0.500
Re 0.000 0.500 0.000
Re 0.500 0.000 0.000
Ba 0.500 0.500 0.500

Results
symmetry: Cmmm
M_tot: 0.0 μB per cell

---

Model B:
# BaRe2Rh

An optimized crystal structure of BaRe2Rh (PBE, Alexandria).

abc: 2.920 4.826 5.521
angles: 90.00 90.00 90.00
Element x y z (fractional)
Re 0.500 0.500 0.000
Re 0.000 0.000 0.000
Rh 0.500 0.000 0.500
Ba 0.000 0.500 0.500

Results
symmetry: Pmmm
M_tot: 0.0 μB per cell

---

Model C:
# BaRe2Rh

An optimized crystal structure of BaRe2Rh (PBE, Alexandria).

abc: 6.501 6.501 6.501
angles: 39.75 39.75 39.75
Element x y z (fractional)
Ba 0.000 0.000 0.000
Re 0.814 0.814 0.814
Re 0.186 0.186 0.186
Rh 0.500 0.500 0.500

Results
symmetry: R-3m
M_tot: 0.0 μB per cell

---

model C comes first in stability; the runner-up is 68.9 kJ/mol of atoms higher.

---

Model A:
# BaRe2Rh

An optimized crystal structure of BaRe2Rh (PBE, Alexandria).

abc: 10.587 10.587 10.587
angles: 15.73 15.73 15.73
Element x y z (fractional)
Re 0.235 0.235 0.235
Re 0.765 0.765 0.765
Rh 0.500 0.500 0.500
Ba 0.000 0.000 0.000

Results
symmetry: R-3m
M_tot: 0.0 μB per cell

---

Model B:
# BaRe2Rh

An optimized crystal structure of BaRe2Rh (PBE, Alexandria).

abc: 4.743 4.743 4.743
angles: 60.00 60.00 60.00
Element x y z (fractional)
Re 0.750 0.750 0.750
Re 0.000 0.000 0.000
Rh 0.500 0.500 0.500
Ba 0.250 0.250 0.250

Results
symmetry: F-43m
M_tot: 0.0 μB per cell

---

Model C:
# BaRe2Rh

An optimized crystal structure of BaRe2Rh (PBE, Alexandria).

abc: 6.222 6.222 6.222
angles: 144.19 144.19 51.54
Element x y z (fractional)
Rh 0.500 0.500 0.000
Re 0.750 0.250 0.500
Re 0.250 0.750 0.500
Ba 0.000 0.000 0.000

Results
symmetry: I4/mmm
M_tot: 0.0 μB per cell

---

Model D:
# BaRe2Rh

An optimized crystal structure of BaRe2Rh (PBE, Alexandria).

abc: 4.706 3.861 5.828
angles: 76.38 90.00 90.00
Element x y z (fractional)
Re 0.000 0.711 0.119
Re 0.000 0.289 0.881
Rh 0.500 0.500 0.000
Ba 0.500 0.000 0.500

Results
symmetry: P2/m
M_tot: 0.0 μB per cell

---

model D comes first in stability; the runner-up is 18.0 kJ/mol of atoms higher.

---

Model A:
# BaRe2Rh

An optimized crystal structure of BaRe2Rh (PBE, Alexandria).

abc: 6.012 6.012 2.847
angles: 80.47 80.47 126.25
Element x y z (fractional)
Rh 0.500 0.500 0.500
Re 0.500 0.000 0.000
Re 0.000 0.500 0.000
Ba 0.000 0.000 0.500

Results
symmetry: C2/m
M_tot: 0.0 μB per cell

---

Model B:
# BaRe2Rh

An optimized crystal structure of BaRe2Rh (PBE, Alexandria).

abc: 2.833 2.833 9.533
angles: 90.00 90.00 90.00
Element x y z (fractional)
Re 0.000 0.000 0.198
Re 0.000 0.000 0.802
Rh 0.500 0.500 0.000
Ba 0.500 0.500 0.500

Results
symmetry: P4/mmm
M_tot: 0.0 μB per cell

---

Model C:
# BaRe2Rh

An optimized crystal structure of BaRe2Rh (PBE, Alexandria).

abc: 3.336 3.336 7.740
angles: 90.00 90.00 90.00
Each line ends with the local moment (μB).
Element x y z (fractional)
Re 0.000 0.000 0.156  0.16
Re 0.000 0.000 0.844  0.16
Rh 0.500 0.500 0.000  0.28
Ba 0.500 0.500 0.500  0.00

Results
symmetry: P4/mmm
M_tot: 0.7 μB per cell

---

Model D:
# BaRe2Rh

An optimized crystal structure of BaRe2Rh (PBE, Alexandria).

abc: 3.178 3.177 8.062
angles: 90.00 90.00 90.00
Element x y z (fractional)
Ba 0.500 0.500 0.747
Re 0.000 0.000 0.080
Re 0.500 0.500 0.238
Rh 0.000 0.000 0.436

Results
symmetry: P4mm
M_tot: 0.0 μB per cell

---

model D comes first in stability; the runner-up is 38.8 kJ/mol of atoms higher.